Run A
A plane-wave DFT calculation with PBE was carried out for a relaxed K2HOs crystal.

It has space group Fm-3m (No. 225), with a = 7.890 Å, b = 7.890 Å, c = 7.890 Å, α = 90.00°, β = 90.00° and γ = 90.00°. Symmetry generates all atoms from K at (0.250, 0.250, 0.250), H at (0.000, 0.000, 0.000) and Os at (0.000, 0.000, 0.500).

For the spin magnetization, the calculation gives 3.0 μB per formula unit.

Run B
A plane-wave DFT calculation with PBE was carried out for a relaxed K2HOs crystal.

It has space group I-42d (No. 122), with a = 11.586 Å, b = 11.586 Å, c = 3.433 Å, α = 90.00°, β = 90.00° and γ = 90.00°. Symmetry generates all atoms from K at (0.049, 0.250, 0.125), H at (0.000, 0.000, 0.000) and Os at (0.000, 0.000, 0.500).

For the spin magnetization, the calculation gives 1.2 μB per formula unit.

Relative energies, in meV/atom, with the most stable structure set to zero: run A 645; run B 0.

Run A
A plane-wave DFT calculation with PBE was carried out for a relaxed K2HOs2 crystal.

It has space group P4/mbm (No. 127), with a = 10.202 Å, b = 10.202 Å, c = 2.667 Å, α = 90.00°, β = 90.00° and γ = 90.00°. Symmetry generates all atoms from K at (0.202, 0.298, 0.000), H at (0.000, 0.000, 0.500) and Os at (0.078, 0.578, 0.500).

For the spin magnetization, the calculation gives 1.3 μB per formula unit.

Run B
A plane-wave DFT calculation with PBE was carried out for a relaxed K2HOs2 crystal.

It has space group I4/mmm (No. 139), with a = 6.537 Å, b = 6.537 Å, c = 6.124 Å, α = 90.00°, β = 90.00° and γ = 90.00°. Symmetry generates all atoms from K at (0.000, 0.500, 0.250), H at (0.000, 0.000, 0.000) and Os at (0.000, 0.000, 0.313).

For the spin magnetization, the calculation gives 3.7 μB per formula unit.

Relative energies, in meV/atom, with the most stable structure set to zero: run A 0; run B 130.

Run A
A plane-wave DFT calculation with PBE was carried out for a relaxed KPH4 crystal.

It has space group P4/mmm (No. 123), with a = 4.318 Å, b = 4.318 Å, c = 4.499 Å, α = 90.00°, β = 90.00° and γ = 90.00°. Symmetry generates all atoms from K at (0.000, 0.000, 0.000), P at (0.500, 0.500, 0.500) and H at (0.261, 0.261, 0.500).

For the spin magnetization, the calculation gives 0.0 μB per formula unit.

Run B
A plane-wave DFT calculation with PBE was carried out for a relaxed KPH4 crystal.

It has space group Cmcm (No. 63), with a = 6.278 Å, b = 9.497 Å, c = 6.655 Å, α = 90.00°, β = 90.00° and γ = 90.00°. Symmetry generates all atoms from K at (0.000, 0.195, 0.250), P at (0.000, 0.188, 0.750), H at (0.000, 0.466, 0.530) and H at (0.165, 0.083, 0.750).

For the spin magnetization, the calculation gives 0.0 μB per formula unit.

Relative energies, in meV/atom, with the most stable structure set to zero: run A 247; run B 0.